NaMo2Ru: optimized geometry, GGA-PBE.

The structure in CIF format:
```
data_NaMo2Ru
_chemical_formula_sum 'Na4 Mo8 Ru4'
_space_group_name_H-M_alt 'F m -3 m'
_space_group_IT_number 225
_space_group_name_Hall '-F 4 2 3'
_cell_length_a 6.308
_cell_length_b 6.308
_cell_length_c 6.308
_cell_angle_alpha 90.00
_cell_angle_beta 90.00
_cell_angle_gamma 90.00
loop_
_atom_site_label
_atom_site_type_symbol
_atom_site_fract_x
_atom_site_fract_y
_atom_site_fract_z
Na1 Na 0.000 0.000 0.000
Mo1 Mo 0.250 0.250 0.250
Ru1 Ru 0.000 0.000 0.500
```

## Properties
DFT formation energy	343.5	kJ/mol of formula units
electronic total energy	-28.70	eV/f.u.
DOS at the Fermi energy	12.93	states/eV per cell
relative energy among the computed polymorphs	0	meV/atom

NaMoRu2: optimized geometry, GGA-PBE.

The structure in CIF format:
```
data_NaMoRu2
_chemical_formula_sum 'Na4 Mo4 Ru8'
_space_group_name_H-M_alt 'I -4 2 d'
_space_group_IT_number 122
_space_group_name_Hall 'I -4 2bw'
_cell_length_a 7.114
_cell_length_b 7.114
_cell_length_c 5.647
_cell_angle_alpha 90.00
_cell_angle_beta 90.00
_cell_angle_gamma 90.00
loop_
_atom_site_label
_atom_site_type_symbol
_atom_site_fract_x
_atom_site_fract_y
_atom_site_fract_z
Na1 Na 0.000 0.000 0.000
Mo1 Mo 0.000 0.000 0.500
Ru1 Ru 0.203 0.250 0.625
```

## Properties
DFT formation energy	336.4	kJ/mol of formula units
electronic total energy	-27.22	eV/f.u.
DOS at the Fermi energy	15.82	states/eV per cell
relative energy among the computed polymorphs	339	meV/atom